[1]
Compound: Cs3K4Rb7
Source: the Alexandria database
Functional: PBE
Structure: relaxed

Computed properties:
**Total magnetization**: 0.00 μB/f.u.
**DFT formation energy**: 0.73 kJ per mole of atoms

abc: 12.6929 12.6929 16.8561
angles: 126.63 126.63 36.41
Last column: nearest neighbours and their distance in Å.
Atoms (fractional coordinates):
Cs  0.0000  0.0000  0.0000  6 Rb 4.94, 2 Cs 4.97
Cs  0.0739  0.0739  0.7830  5 K 4.86-4.98, 2 Rb 4.90-4.94, 1 Cs 4.97
Cs  0.9261  0.9261  0.2170  5 K 4.86-4.98, 2 Rb 4.90-4.94, 1 Cs 4.97
K  0.2856  0.2856  0.1477  5 Rb 4.78-4.84, 3 Cs 4.86-4.94
K  0.4244  0.4244  0.7143  6 Rb 4.80-4.96, 2 Cs 4.98
K  0.5756  0.5756  0.2857  6 Rb 4.80-4.96, 2 Cs 4.98
K  0.7144  0.7144  0.8523  5 Rb 4.78-4.84, 3 Cs 4.86-4.94
Rb  0.1496  0.1496  0.5726  6 Rb 4.76-4.97, 2 Cs 4.90-4.94
Rb  0.2181  0.2181  0.3603  3 Rb 4.76-4.79, 4 K 4.78-4.87, 1 Cs 4.94
Rb  0.3540  0.3540  0.9338  5 K 4.81-4.95, 1 Rb 4.86, 2 Cs 4.94
Rb  0.5000  0.5000  0.5000  4 K 4.84-4.96, 4 Rb 4.97
Rb  0.6460  0.6460  0.0662  5 K 4.81-4.95, 1 Rb 4.86, 2 Cs 4.94
Rb  0.7819  0.7819  0.6397  3 Rb 4.76-4.79, 4 K 4.78-4.87, 1 Cs 4.94
Rb  0.8504  0.8504  0.4274  6 Rb 4.76-4.97, 2 Cs 4.90-4.94

[2]
Compound: Ti6PdPt5
Source: the Alexandria database
Functional: PBE
Structure: relaxed

Computed properties:
**Total magnetization**: 0.07 μB/f.u.
**DFT formation energy**: -82.08 kJ per mole of atoms

abc: 4.8011 5.6484 7.4182
angles: 112.31 91.52 90.03
Last column: nearest neighbours and their distance in Å.
Atoms (fractional coordinates):
Ti  0.0000  0.2479  0.0000  6 Pt 2.77-2.78, 2 Pd 2.79, 4 Ti 2.80-2.85
Ti  0.0000  0.7521  0.0000  6 Pt 2.77-2.78, 2 Pd 2.79, 4 Ti 2.80-2.85
Ti  0.3343  0.0813  0.6647  7 Pt 2.77-2.80, 1 Pd 2.80, 4 Ti 2.80-2.84
Ti  0.3343  0.5835  0.6647  7 Pt 2.77-2.80, 1 Pd 2.80, 4 Ti 2.80-2.84
Ti  0.6657  0.4165  0.3353  7 Pt 2.77-2.80, 1 Pd 2.80, 4 Ti 2.80-2.84
Ti  0.6657  0.9187  0.3353  7 Pt 2.77-2.80, 1 Pd 2.80, 4 Ti 2.80-2.84
Pd  0.5000  0.5000  0.0000  8 Ti 2.79-2.80, 4 Pt 2.82
Pt  0.1632  0.6651  0.3302  8 Ti 2.77-2.80, 1 Pd 2.82, 3 Pt 2.82-2.85
Pt  0.1680  0.1662  0.3325  8 Ti 2.77-2.79, 4 Pt 2.82-2.85
Pt  0.5000  0.0000  0.0000  8 Ti 2.78-2.79, 2 Pt 2.82, 2 Pd 2.82
Pt  0.8320  0.8338  0.6675  8 Ti 2.77-2.79, 4 Pt 2.82-2.85
Pt  0.8368  0.3349  0.6698  8 Ti 2.77-2.80, 1 Pd 2.82, 3 Pt 2.82-2.85

[3]
Compound: ZrIrS
Source: the Alexandria database
Functional: PBE
Structure: relaxed

Computed properties:
**Final energy**: -8.0275 eV per atom
**Total magnetization**: 0.00 μB/f.u.

abc: 7.7704 7.7704 7.7704
angles: 31.90 31.90 31.90
Last column: nearest neighbours and their distance in Å.
Atoms (fractional coordinates):
Zr  0.0817  0.0817  0.0817  4 S 2.65-2.78
Zr  0.9183  0.9183  0.9183  4 S 2.65-2.78
Ir  0.3337  0.3337  0.3337  3 Ir 2.47
Ir  0.6663  0.6663  0.6663  3 Ir 2.47
S  0.2073  0.2073  0.2073  4 Zr 2.65-2.78, 1 Ir 2.79
S  0.7927  0.7927  0.7927  4 Zr 2.65-2.78, 1 Ir 2.79

[4]
Compound: RbSr2Tc2
Source: the Alexandria database
Functional: PBE
Structure: relaxed

Computed properties:
**Total magnetization**: 2.15 μB/f.u.
**DFT formation energy**: 97.33 kJ per mole of atoms
**Energy relative to the lowest polymorph listed for this composition**: 180.8 meV/atom

abc: 6.5292 6.5292 6.5292
angles: 124.29 124.29 82.72
Last column: nearest neighbours and their distance in Å.
Atoms (fractional coordinates):
Rb  0.0000  0.0000  0.0000  2 Tc 3.84, 8 Sr 3.91
Sr  0.2500  0.7500  0.5000  4 Tc 3.35
Sr  0.7500  0.2500  0.5000  4 Tc 3.35
Tc  0.3916  0.3916  0.0000  1 Tc 2.13
Tc  0.6084  0.6084  0.0000  1 Tc 2.13

[5]
Compound: Nd3Ge2Rh5
Source: the Alexandria database
Functional: PBE
Structure: relaxed

Computed properties:
**Total magnetization**: 0.00 μB/f.u.
**DFT formation energy**: -72.45 kJ per mole of atoms

abc: 10.1815 10.1815 3.7373
angles: 90.00 90.00 90.00
Last column: nearest neighbours and their distance in Å.
Atoms (fractional coordinates):
Nd  0.0000  0.0000  0.0000  8 Rh 3.02
Nd  0.1740  0.3260  0.0000  3 Ge 2.95-3.05, 10 Rh 3.13-3.29
Nd  0.3260  0.8260  0.0000  3 Ge 2.95-3.05, 10 Rh 3.13-3.29
Nd  0.5000  0.5000  0.0000  8 Rh 3.02
Nd  0.6740  0.1740  0.0000  3 Ge 2.95-3.05, 10 Rh 3.13-3.29
Nd  0.8260  0.6740  0.0000  3 Ge 2.95-3.05, 10 Rh 3.13-3.29
Ge  0.1212  0.6212  0.0000  6 Rh 2.51-2.56
Ge  0.3788  0.1212  0.0000  6 Rh 2.51-2.56
Ge  0.6212  0.8788  0.0000  6 Rh 2.51-2.56
Ge  0.8788  0.3788  0.0000  6 Rh 2.51-2.56
Rh  0.0000  0.5000  0.5000  4 Ge 2.56
Rh  0.0704  0.7781  0.5000  2 Ge 2.51
Rh  0.2219  0.0704  0.5000  2 Ge 2.51
Rh  0.2781  0.5704  0.5000  2 Ge 2.51
Rh  0.4296  0.2781  0.5000  2 Ge 2.51
Rh  0.5000  0.0000  0.5000  4 Ge 2.56
Rh  0.5704  0.7219  0.5000  2 Ge 2.51
Rh  0.7219  0.4296  0.5000  2 Ge 2.51
Rh  0.7781  0.9296  0.5000  2 Ge 2.51
Rh  0.9296  0.2219  0.5000  2 Ge 2.51

[6]
Compound: CeMg2Hg
Source: the Alexandria database
Functional: PBE
Structure: relaxed

Computed properties:
**Total magnetization**: 0.98 μB/f.u.
**DFT formation energy**: -19.34 kJ per mole of atoms
**Energy relative to the lowest polymorph listed for this composition**: 0.0 meV/atom

abc: 5.1791 5.1791 5.1791
angles: 119.95 119.95 90.09
Last column: nearest neighbours and their distance in Å.
Atoms (fractional coordinates):
Ce  0.0000  0.0000  0.0000  4 Hg 3.17, 4 Mg 3.17
Mg  0.2500  0.7500  0.5000  4 Ce 3.17, 4 Mg 3.17
Mg  0.5000  0.5000  0.0000  4 Hg 3.17, 4 Mg 3.17
Hg  0.7500  0.2500  0.5000  4 Ce 3.17, 4 Mg 3.17

[7]
Compound: RbHfI
Source: the Alexandria database
Functional: PBE
Structure: relaxed

Computed properties:
**Total magnetization**: 0.00 μB/f.u.
**Energy relative to the lowest polymorph listed for this composition**: 49.7 meV/atom

abc: 3.6550 3.8150 15.8688
angles: 89.74 89.71 90.00
Last column: nearest neighbours and their distance in Å.
Atoms (fractional coordinates):
Rb  0.2418  0.2429  0.3650  4 I 3.63, 4 Rb 3.65-3.82
Rb  0.7582  0.7571  0.6350  4 I 3.63, 4 Rb 3.65-3.82
Hf  0.2488  0.7489  0.0535  2 I 3.06, 4 Hf 3.14
Hf  0.7512  0.2511  0.9465  2 I 3.06, 4 Hf 3.14
I  0.2547  0.2540  0.7918  2 Hf 3.06
I  0.7453  0.7460  0.2082  2 Hf 3.06